The following is a DFT calculation (PBE) of an optimized crystal structure of Pu2MgGe3Rh4.

Results
VASP energy, eV per cell: -79.831
ΔE_f, meV/atom: -631

Cell: 4.1067 4.1067 10.8753 Å, 90.00 90.00 90.00°
Closest atoms and distances in Å follow each position.
Space group P-4m2 (No. 115)
One atom of each set of equivalent atoms:
Pu 0.0000 0.5000 0.2475 x2  8 Rh 3.12-3.39, 6 Ge 3.19-3.43, 2 Mg 3.43
Mg 0.0000 0.0000 0.5000 x1  4 Rh 2.61, 4 Ge 2.90
Ge 0.0000 0.5000 0.8738 x2  5 Rh 2.46-2.47
Ge 0.5000 0.5000 0.5000 x1  4 Rh 2.61, 4 Mg 2.90
Rh 0.0000 0.0000 0.0000 x1  4 Ge 2.47
Rh 0.0000 0.5000 0.6475 x2  3 Ge 2.46-2.61, 2 Mg 2.61
Rh 0.5000 0.5000 0.0000 x1  4 Ge 2.47

The following is a DFT calculation (PBE) of an optimized crystal structure of Cu2HPd2.

Results
VASP energy, eV per cell: -22.419
Polymorph energy (0 for the lowest one), kJ/mol of formula units: 0

Cell: 3.9843 3.9843 3.6464 Å, 90.00 90.00 90.00°
Closest atoms and distances in Å follow each position.
Space group P4/mmm (No. 123)
One atom of each set of equivalent atoms:
Cu 0.0000 0.0000 0.0000 x1  2 H 1.82
Cu 0.5000 0.5000 0.0000 x1  8 Pd 2.70, 4 Cu 2.82
H 0.0000 0.0000 0.5000 x1  2 Cu 1.82, 4 Pd 1.99
Pd 0.0000 0.5000 0.5000 x2  2 H 1.99